First-principles (GGA-PBEsol) data for KLa2W after structural relaxation, as listed in Alexandria.

- Spin magnetization: 0.00 Bohr magnetons per cell
- Excess energy over the best structure of this formula in the dataset: 0.0 meV/atom

Unit cell a=4.843 b=5.404 c=5.404 alpha=65.06 beta=63.38 gamma=63.38
Fractional coordinates of all 4 atoms:
La (0.219, 0.781, 0.781)
La (0.781, 0.219, 0.219)
W (0.500, 0.000, 0.000)
K (0.000, 0.500, 0.500)